The following is a PBE calculation of an optimized crystal structure of Cs2MgPbBr6, from Alexandria via LeMat-Bulk.

Summary:
DOS(E_F) ... 0.00 states/eV/cell
Raw total energy ... -3.152 eV per atom
Space-group type ... Fm-3m (225)

Cell: 8.0699 8.0699 8.0688 Å, 60.00 60.00 90.00°
Atoms (fractional coordinates):
1 Pb 0.0000 0.0000 0.0000
2 Br 0.7368 0.7368 0.5264
3 Br 0.2632 0.2632 0.4736
4 Br 0.2631 0.7369 0.0000
5 Br 0.7369 0.2631 0.0000
6 Br 0.7369 0.7369 0.0000
7 Br 0.2631 0.2631 0.0000
8 Mg 0.5000 0.5000 0.0000
9 Cs 0.2500 0.7500 0.5000
10 Cs 0.7500 0.2500 0.5000

***

The following is a PBE calculation of an optimized crystal structure of Cs2MgPdBr6, from Alexandria via LeMat-Bulk.

Summary:
DOS(E_F) ... 6.30 states/eV/cell
Raw total energy ... -3.068 eV per atom
Space-group type ... R-3m (166)

Cell: 7.7426 7.7426 13.6164 Å, 73.48 73.48 60.00°
Each line ends with the local moment (μB).
Atoms (fractional coordinates):
1 Br 0.1428 0.6152 0.6267  0.11
2 Br 0.6152 0.1428 0.6267  0.11
3 Br 0.3848 0.3848 0.3733  0.11
4 Br 0.2068 0.7099 0.8764  0.08
5 Br 0.7099 0.2068 0.8764  0.08
6 Br 0.8572 0.3848 0.3733  0.11
7 Br 0.6152 0.6152 0.6267  0.11
8 Br 0.7932 0.2901 0.1236  0.08
9 Br 0.7932 0.7932 0.1236  0.08
10 Br 0.3848 0.8572 0.3733  0.11
11 Br 0.2901 0.7932 0.1236  0.08
12 Br 0.2068 0.2068 0.8764  0.08
13 Mg 0.4141 0.4141 0.7577  0.01
14 Mg 0.5859 0.5859 0.2423  0.01
15 Cs 0.7050 0.7050 0.8850  0.00
16 Cs 0.2950 0.2950 0.1150  0.00
17 Cs 0.1226 0.1226 0.6322  0.00
18 Cs 0.8774 0.8774 0.3678  0.00
19 Pd 0.0000 0.0000 0.0000  1.02
20 Pd 0.5000 0.5000 0.5000  0.93

***

The following is a PBE calculation of an optimized crystal structure of Cs2PmMgBr6, from Alexandria via LeMat-Bulk.

Summary:
DOS(E_F) ... 4.59 states/eV/cell
Raw total energy ... -3.405 eV per atom
Space-group type ... Pmmn (59)

Cell: 8.2626 8.2672 11.7028 Å, 90.00 90.00 90.00°
Each line ends with the local moment (μB).
Atoms (fractional coordinates):
1 Br 0.0000 0.7481 0.7528  0.01
2 Br 0.2482 0.5029 0.0000  0.01
3 Br 0.2473 0.9978 0.0000  0.01
4 Br 0.7473 0.0022 0.5000  0.01
5 Br 0.2518 0.4971 0.5000  0.01
6 Br 0.7527 0.9978 0.0000  0.01
7 Br 0.5000 0.2519 0.7472  0.01
8 Br 0.7482 0.4971 0.5000  0.01
9 Br 0.0000 0.7481 0.2472  0.01
10 Br 0.7518 0.5029 0.0000  0.01
11 Br 0.5000 0.2519 0.2528  0.01
12 Br 0.2527 0.0022 0.5000  0.01
13 Cs 0.0000 0.2511 0.2501  0.00
14 Cs 0.5000 0.7489 0.2499  0.00
15 Cs 0.5000 0.7489 0.7501  0.00
16 Cs 0.0000 0.2511 0.7499  0.00
17 Pm 0.0000 0.7500 0.0000  0.10
18 Pm 0.5000 0.2500 0.5000  0.10
19 Mg 0.0000 0.7501 0.5000  0.11
20 Mg 0.5000 0.2499 0.0000  0.11

***

The following is a PBE calculation of an optimized crystal structure of CsPmMgBr6, from Alexandria via LeMat-Bulk.

Summary:
DOS(E_F) ... 0.00 states/eV/cell
Raw total energy ... -3.665 eV per atom
Space-group type ... P-31c (163)

Cell: 7.3070 7.3070 16.2747 Å, 90.00 90.00 120.00°
Atoms (fractional coordinates):
1 Br 0.3681 0.9821 0.1508
2 Br 0.9821 0.6141 0.8492
3 Br 0.6319 0.6141 0.6508
4 Br 0.0179 0.6319 0.3492
5 Br 0.3859 0.0179 0.6508
6 Br 0.6141 0.6319 0.1508
7 Br 0.3859 0.3681 0.8492
8 Br 0.3681 0.3859 0.3492
9 Br 0.6319 0.0179 0.8492
10 Br 0.6141 0.9821 0.3492
11 Br 0.9821 0.3681 0.6508
12 Br 0.0179 0.3859 0.1508
13 Pm 0.6667 0.3333 0.2500
14 Pm 0.3333 0.6667 0.7500
15 Mg 0.6667 0.3333 0.7500
16 Mg 0.3333 0.6667 0.2500
17 Cs 0.0000 0.0000 0.5000
18 Cs 0.0000 0.0000 0.0000

***

The following is a PBE calculation of an optimized crystal structure of CsPmMg2Br8, from Alexandria via LeMat-Bulk.

Summary:
DOS(E_F) ... 0.00 states/eV/cell
Raw total energy ... -3.459 eV per atom
Space-group type ... P-1 (2)

Cell: 7.0808 7.2202 10.0426 Å, 71.93 74.32 72.62°
Atoms (fractional coordinates):
1 Br 0.2644 0.7808 0.7962
2 Br 0.8221 0.2983 0.7664
3 Br 0.6081 0.7057 0.4652
4 Br 0.7356 0.2192 0.2038
5 Br 0.7170 0.7625 0.0502
6 Br 0.1779 0.7017 0.2336
7 Br 0.2830 0.2375 0.9498
8 Br 0.3919 0.2943 0.5348
9 Mg 0.5389 0.5493 0.2912
10 Mg 0.4611 0.4507 0.7088
11 Cs 0.0000 0.0000 0.5000
12 Pm 0.0000 0.0000 0.0000

***

The following is a PBE calculation of an optimized crystal structure of CsMgPtBr6, from Alexandria via LeMat-Bulk.

Summary:
Raw total energy ... -3.028 eV per atom
Space-group type ... C2 (5)

Cell: 7.0356 6.7803 8.3055 Å, 88.82 87.73 58.74°
Each line ends with the local moment (μB).
Atoms (fractional coordinates):
1 Mg 0.6764 0.6470 0.5000  0.00
2 Br 0.6260 0.3728 0.6996  0.15
3 Br 0.0012 0.3726 0.3004  0.15
4 Br 0.6261 0.0158 0.3253  0.01
5 Br 0.3590 0.6286 0.3298  0.02
6 Br 0.3580 0.0160 0.6746  0.01
7 Br 0.0122 0.6288 0.6701  0.02
8 Pt 0.3342 0.3315 0.5000  0.50
9 Cs 0.0065 0.9870 0.0000  0.00

***

The following is a PBE calculation of an optimized crystal structure of Cs2RbMg2Br7, from Alexandria via LeMat-Bulk.

Summary:
DOS(E_F) ... 0.00 states/eV/cell
Raw total energy ... -3.094 eV per atom
Space-group type ... C2/m (12)

Cell: 5.4487 5.4487 14.7963 Å, 79.39 79.39 90.01°
Atoms (fractional coordinates):
1 Br 0.9089 0.4082 0.1834
2 Br 0.3115 0.3115 0.3769
3 Br 0.5000 0.5000 0.0000
4 Br 0.6885 0.6885 0.6231
5 Br 0.5918 0.0911 0.8166
6 Br 0.4082 0.9089 0.1834
7 Br 0.0911 0.5918 0.8166
8 Mg 0.4059 0.4059 0.1912
9 Mg 0.5941 0.5941 0.8088
10 Cs 0.1813 0.1813 0.6378
11 Cs 0.8187 0.8187 0.3622
12 Rb 0.0000 0.0000 0.0000

***

The following is a PBE calculation of an optimized crystal structure of Cs3RbMg2Br8, from Alexandria via LeMat-Bulk.

Summary:
DOS(E_F) ... 0.00 states/eV/cell
Raw total energy ... -3.082 eV per atom
Space-group type ... P-3m1 (164)

Cell: 8.3844 8.3844 10.3531 Å, 90.00 90.00 120.00°
Each line ends with the local moment (μB).
Atoms (fractional coordinates):
1 Mg 0.3333 0.6667 0.1996  0.00
2 Mg 0.6667 0.3333 0.8004  0.00
3 Br 0.3333 0.6667 0.9612  -0.09
4 Br 0.8254 0.6508 0.7029  -0.01
5 Br 0.1746 0.8254 0.2971  -0.01
6 Br 0.8254 0.1746 0.7029  -0.01
7 Br 0.6508 0.8254 0.2971  -0.01
8 Br 0.6667 0.3333 0.0388  -0.09
9 Br 0.3492 0.1746 0.7029  -0.01
10 Br 0.1746 0.3492 0.2971  -0.01
11 Cs 0.0000 0.0000 0.0000  0.00
12 Cs 0.3333 0.6667 0.6232  0.00
13 Cs 0.6667 0.3333 0.3768  0.00
14 Rb 0.0000 0.0000 0.5000  0.00

***

What are the M_tot values for these records? In order: 0.00 1.82 0.65 0.00 0.00 1.01 0.00 0.32 μB per formula unit.
What are the E_form (uncorrected) values for these records? In order: -1.45 -1.21 -1.60 -1.75 -1.61 -0.97 -1.63 -1.65 eV per atom.